[1]
Entry from the Alexandria database: a relaxed Ho4TmZr crystal (PBE).

Unit cell a=3.446 b=9.144 c=7.770 alpha=126.54 beta=63.54 gamma=100.95
Fractional positions:
Tm1 0.500 0.000 0.500
Ho1 0.178 0.320 0.481
Ho2 0.661 0.322 0.001
Zr1 0.000 0.000 0.000
Ho3 0.822 0.680 0.519
Ho4 0.339 0.678 0.999

[2]
Entry from the Alexandria database: a relaxed Ho7Tm12Zr crystal (PBE).

Unit cell a=9.709 b=9.709 c=9.709 alpha=109.47 beta=109.47 gamma=109.47
Fractional positions:
Tm1 0.999 0.782 0.218
Tm2 0.218 0.999 0.782
Tm3 0.782 0.001 0.218
Ho1 0.500 0.500 0.000
Tm4 0.001 0.218 0.782
Ho2 0.500 0.000 0.500
Ho3 0.500 0.000 0.000
Tm5 0.218 0.218 0.436
Ho4 0.000 0.500 0.000
Ho5 0.500 0.500 0.500
Tm6 0.564 0.782 0.782
Ho6 0.000 0.500 0.500
Tm7 0.782 0.218 0.999
Tm8 0.436 0.218 0.218
Tm9 0.218 0.782 0.001
Ho7 0.000 0.000 0.500
Tm10 0.782 0.564 0.782
Zr1 0.000 0.000 0.000
Tm11 0.782 0.782 0.564
Tm12 0.218 0.436 0.218

[3]
Entry from the Alexandria database: a relaxed HoTmZr crystal (PBE).

Unit cell a=3.363 b=5.322 c=5.322 alpha=120.00 beta=90.00 gamma=90.00
Fractional positions:
Tm1 0.166 0.000 0.000
Ho1 0.667 0.667 0.333
Zr1 0.167 0.333 0.667

Mass density for every record listed, in sequence, given in kg/m³: 8723, 7715, 8557.
Offset from the most stable computed form for every record listed, in sequence, given in meV per atom: 0.0, 540.1, 82.1.